## A
VASP calculation (PBE) on crystalline SbPRu2 at its relaxed geometry.

Cell lengths 4.497, 4.497, 4.497 Å; angles 60.00, 60.00, 60.00 degrees
Fractional coordinates of all 4 atoms:
Sb (0.750, 0.750, 0.750)
P (0.500, 0.500, 0.500)
Ru (0.000, 0.000, 0.000)
Ru (0.250, 0.250, 0.250)

Calculated values
mass density: 9.16 g/cm³
total moment: 0.00 μB per formula unit

## B
VASP calculation (PBE) on crystalline SbPRu2 at its relaxed geometry.

Cell lengths 4.343, 4.343, 5.239 Å; angles 76.03, 76.03, 44.78 degrees
Fractional coordinates of all 4 atoms:
Sb (0.491, 0.491, 0.474)
P (0.731, 0.731, 0.931)
Ru (0.032, 0.032, 0.861)
Ru (0.247, 0.247, 0.235)

Calculated values
mass density: 8.77 g/cm³
total moment: 0.00 μB per formula unit

## C
VASP calculation (PBE) on crystalline SbPRu2 at its relaxed geometry.

Cell lengths 3.018, 3.018, 6.707 Å; angles 90.00, 90.00, 90.00 degrees
Fractional coordinates of all 4 atoms:
Sb (0.500, 0.500, 0.000)
P (0.500, 0.500, 0.500)
Ru (0.000, 0.000, 0.705)
Ru (0.000, 0.000, 0.295)

Calculated values
mass density: 9.65 g/cm³
total moment: 0.00 μB per formula unit

## D
VASP calculation (PBE) on crystalline SbPRu2 at its relaxed geometry.

Cell lengths 3.981, 3.981, 8.317 Å; angles 90.00, 90.00, 90.00 degrees
Fractional coordinates of all 8 atoms:
Sb (0.500, 0.000, 0.201)
Sb (0.000, 0.500, 0.799)
P (0.000, 0.000, 0.500)
P (0.500, 0.500, 0.500)
Ru (0.000, 0.000, 0.000)
Ru (0.500, 0.500, 0.000)
Ru (0.500, 0.000, 0.675)
Ru (0.000, 0.500, 0.325)

Calculated values
mass density: 8.94 g/cm³
total moment: 0.00 μB per formula unit

The structure with the greatest stability is B.

## A
VASP calculation (PBE) on crystalline SbPRu2 at its relaxed geometry.

Cell lengths 5.573, 5.573, 6.711 Å; angles 65.47, 65.47, 90.00 degrees
Fractional coordinates of all 8 atoms:
Sb (0.000, 0.000, 0.000)
Sb (0.750, 0.250, 0.500)
P (0.500, 0.500, 0.000)
P (0.250, 0.750, 0.500)
Ru (0.572, 0.125, 0.250)
Ru (0.178, 0.625, 0.250)
Ru (0.375, 0.428, 0.750)
Ru (0.875, 0.822, 0.750)

Calculated values
mass density: 6.99 g/cm³
total moment: 0.00 μB per formula unit

## B
VASP calculation (PBE) on crystalline SbPRu2 at its relaxed geometry.

Cell lengths 3.124, 4.575, 4.605 Å; angles 90.00, 90.00, 90.00 degrees
Fractional coordinates of all 4 atoms:
Sb (0.000, 0.509, 0.000)
P (0.500, 0.176, 0.500)
Ru (0.500, 0.007, 0.000)
Ru (0.000, 0.808, 0.500)

Calculated values
mass density: 8.95 g/cm³
total moment: 0.00 μB per formula unit

## C
VASP calculation (PBE) on crystalline SbPRu2 at its relaxed geometry.

Cell lengths 2.988, 2.988, 7.893 Å; angles 90.00, 90.00, 90.00 degrees
Fractional coordinates of all 4 atoms:
Sb (0.000, 0.000, 0.447)
P (0.500, 0.500, 0.837)
Ru (0.000, 0.000, 0.986)
Ru (0.500, 0.500, 0.229)

Calculated values
mass density: 8.36 g/cm³
total moment: 0.00 μB per formula unit

The structure with the greatest stability is B.

## A
VASP calculation (PBE) on crystalline SbPRu2 at its relaxed geometry.

Cell lengths 4.187, 4.187, 5.492 Å; angles 77.48, 77.48, 42.41 degrees
Fractional coordinates of all 4 atoms:
Sb (0.500, 0.500, 0.000)
P (0.000, 0.000, 0.500)
Ru (0.260, 0.260, 0.710)
Ru (0.740, 0.740, 0.290)

Calculated values
mass density: 9.33 g/cm³
total moment: 0.00 μB per formula unit

## B
VASP calculation (PBE) on crystalline SbPRu2 at its relaxed geometry.

Cell lengths 3.539, 3.267, 5.851 Å; angles 89.99, 90.00, 90.00 degrees
Fractional coordinates of all 4 atoms:
Sb (0.500, 0.500, 0.000)
P (0.500, 0.000, 0.500)
Ru (0.000, 0.000, 0.745)
Ru (0.000, 0.000, 0.255)

Calculated values
mass density: 8.71 g/cm³
total moment: 0.00 μB per formula unit

## C
VASP calculation (PBE) on crystalline SbPRu2 at its relaxed geometry.

Cell lengths 3.322, 3.322, 5.979 Å; angles 90.00, 90.00, 90.00 degrees
Fractional coordinates of all 4 atoms:
Sb (0.000, 0.000, 0.469)
P (0.500, 0.500, 0.855)
Ru (0.000, 0.000, 0.926)
Ru (0.500, 0.500, 0.250)

Calculated values
mass density: 8.93 g/cm³
total moment: 0.72 μB per formula unit

The structure with the greatest stability is C.

## A
VASP calculation (PBE) on crystalline ScTe2PRu at its relaxed geometry.

Cell lengths 5.461, 4.663, 5.461 Å; angles 90.00, 90.00, 90.00 degrees
Fractional coordinates of all 5 atoms:
Sc (0.000, 0.000, 0.000)
Ru (0.000, 0.500, 0.000)
Te (0.000, 0.000, 0.500)
Te (0.500, 0.000, 0.000)
P (0.500, 0.500, 0.500)

Calculated values
mass density: 5.16 g/cm³
total moment: 1.33 μB per formula unit

## B
VASP calculation (PBE) on crystalline ScTe2PRu at its relaxed geometry.

Cell lengths 5.437, 4.292, 5.437 Å; angles 90.00, 90.00, 90.00 degrees
Fractional coordinates of all 5 atoms:
Sc (0.500, 0.500, 0.500)
Ru (0.000, 0.000, 0.000)
Te (0.000, 0.000, 0.500)
Te (0.500, 0.000, 0.000)
P (0.000, 0.500, 0.000)

Calculated values
mass density: 5.66 g/cm³
total moment: 0.00 μB per formula unit

The structure with the greatest stability is B.